No. 1
# MgMn PBE-GGA relaxed
# Density of states at the Fermi level (states/eV per atom): 1.597
# E_form (eV/atom): 1.564
data_MgMn
_space_group_name_H-M_alt 'P m -3 n'
_space_group_IT_number 223
_space_group_name_Hall '-P 4n 2 3'
_cell_length_a 7.817
_cell_length_b 7.817
_cell_length_c 7.817
_cell_angle_alpha 90.00
_cell_angle_beta 90.00
_cell_angle_gamma 90.00
loop_
_atom_site_label
_atom_site_type_symbol
_atom_site_fract_x
_atom_site_fract_y
_atom_site_fract_z
Mg1 Mg 0.000 0.250 0.500
Mn1 Mn 0.000 0.500 0.250

---

No. 2
# Mg4Mn3 PBE-GGA relaxed
# Density of states at the Fermi level (states/eV per atom): 0.937
# E_form (eV/atom): 0.267
# Energy above the most stable polymorph in this dataset (meV per atom): 33.2
data_Mg4Mn3
_space_group_name_H-M_alt 'P 6/m m m'
_space_group_IT_number 191
_space_group_name_Hall '-P 6 2'
_cell_length_a 5.2238
_cell_length_b 5.2238
_cell_length_c 5.3688
_cell_angle_alpha 90.00
_cell_angle_beta 90.00
_cell_angle_gamma 120.00
loop_
_atom_site_label
_atom_site_type_symbol
_atom_site_fract_x
_atom_site_fract_y
_atom_site_fract_z
Mg1 Mg 0.0000 0.0000 0.2460
Mg2 Mg 0.3333 0.6667 0.5000
Mn1 Mn 0.0000 0.5000 0.0000

---

No. 3
# Mg3Mn4 PBE-GGA relaxed
# Density of states at the Fermi level (states/eV per atom): 1.186
# E_form (eV/atom): 0.617
# Energy above the most stable polymorph in this dataset (meV per atom): 334.9
data_Mg3Mn4
_space_group_name_H-M_alt 'P 6/m m m'
_space_group_IT_number 191
_space_group_name_Hall '-P 6 2'
_cell_length_a 5.3826
_cell_length_b 5.3826
_cell_length_c 5.0279
_cell_angle_alpha 90.00
_cell_angle_beta 90.00
_cell_angle_gamma 120.00
loop_
_atom_site_label
_atom_site_type_symbol
_atom_site_fract_x
_atom_site_fract_y
_atom_site_fract_z
Mg1 Mg 0.0000 0.5000 0.0000
Mn1 Mn 0.0000 0.0000 0.2581
Mn2 Mn 0.3333 0.6667 0.5000

---

No. 4
# MgMn PBE-GGA relaxed
# Density of states at the Fermi level (states/eV per atom): 0.562
# E_form (eV/atom): 0.845
data_MgMn
_space_group_name_H-M_alt 'F m -3 m'
_space_group_IT_number 225
_space_group_name_Hall '-F 4 2 3'
_cell_length_a 5.469
_cell_length_b 5.469
_cell_length_c 5.469
_cell_angle_alpha 90.00
_cell_angle_beta 90.00
_cell_angle_gamma 90.00
loop_
_atom_site_label
_atom_site_type_symbol
_atom_site_fract_x
_atom_site_fract_y
_atom_site_fract_z
Mg1 Mg 0.000 0.000 0.000
Mn1 Mn 0.000 0.000 0.500

---

No. 5
# MgMn PBE-GGA relaxed
# Density of states at the Fermi level (states/eV per atom): 0.627
# E_form (eV/atom): 0.308
data_MgMn
_space_group_name_H-M_alt 'C 1 m 1'
_space_group_IT_number 8
_cell_length_a 10.287
_cell_length_b 2.951
_cell_length_c 7.263
_cell_angle_alpha 90.00
_cell_angle_beta 110.23
_cell_angle_gamma 90.00
loop_
_space_group_symop_operation_xyz
'x,y,z'
'x,-y,z'
'x+1/2,y+1/2,z'
'x+1/2,-y+1/2,z'
loop_
_atom_site_label
_atom_site_type_symbol
_atom_site_fract_x
_atom_site_fract_y
_atom_site_fract_z
Mg1 Mg 0.000 0.000 0.000
Mg2 Mg 0.016 0.000 0.595
Mg3 Mg 0.188 0.500 0.354
Mn1 Mn 0.211 0.500 0.935
Mn2 Mn 0.307 0.000 0.709
Mn3 Mn 0.377 0.000 0.225

---

No. 6
# MgMn3 PBE-GGA relaxed
# Density of states at the Fermi level (states/eV per atom): 1.065
# E_form (eV/atom): 0.296
data_MgMn3
_space_group_name_H-M_alt 'P 4/m m m'
_space_group_IT_number 123
_space_group_name_Hall '-P 4 2'
_cell_length_a 4.027
_cell_length_b 4.027
_cell_length_c 3.461
_cell_angle_alpha 90.00
_cell_angle_beta 90.00
_cell_angle_gamma 90.00
loop_
_atom_site_label
_atom_site_type_symbol
_atom_site_fract_x
_atom_site_fract_y
_atom_site_fract_z
Mg1 Mg 0.000 0.000 0.000
Mn1 Mn 0.000 0.500 0.500
Mn2 Mn 0.500 0.500 0.000

---

No. 7
# MgMn PBE-GGA relaxed
# Density of states at the Fermi level (states/eV per atom): 0.899
# E_form (eV/atom): 0.596
data_MgMn
_space_group_name_H-M_alt 'I 4/m m m'
_space_group_IT_number 139
_space_group_name_Hall '-I 4 2'
_cell_length_a 9.365
_cell_length_b 9.365
_cell_length_c 3.459
_cell_angle_alpha 90.00
_cell_angle_beta 90.00
_cell_angle_gamma 90.00
loop_
_atom_site_label
_atom_site_type_symbol
_atom_site_fract_x
_atom_site_fract_y
_atom_site_fract_z
Mg1 Mg 0.000 0.295 0.000
Mn1 Mn 0.203 0.203 0.500

---

No. 8
# MgMn PBE-GGA relaxed
# Density of states at the Fermi level (states/eV per atom): 1.014
# E_form (eV/atom): 0.516
data_MgMn
_space_group_name_H-M_alt 'F d d d'
_space_group_IT_number 70
_cell_length_a 4.896
_cell_length_b 7.996
_cell_length_c 13.589
_cell_angle_alpha 90.00
_cell_angle_beta 90.00
_cell_angle_gamma 90.00
loop_
_space_group_symop_operation_xyz
'x,y,z'
'-x,-y,-z'
'-x+1/4,-y+1/4,z'
'x+1/4,y+1/4,-z'
'x,-y+1/4,-z+1/4'
'-x,y+1/4,z+1/4'
'-x+1/4,y,-z+1/4'
'x+1/4,-y,z+1/4'
'x,y+1/2,z+1/2'
'-x,-y+1/2,-z+1/2'
'-x+1/4,-y+3/4,z+1/2'
'x+1/4,y+3/4,-z+1/2'
'x,-y+3/4,-z+3/4'
'-x,y+3/4,z+3/4'
'-x+1/4,y+1/2,-z+3/4'
'x+1/4,-y+1/2,z+3/4'
'x+1/2,y,z+1/2'
'-x+1/2,-y,-z+1/2'
'-x+3/4,-y+1/4,z+1/2'
'x+3/4,y+1/4,-z+1/2'
'x+1/2,-y+1/4,-z+3/4'
'-x+1/2,y+1/4,z+3/4'
'-x+3/4,y,-z+3/4'
'x+3/4,-y,z+3/4'
'x+1/2,y+1/2,z'
'-x+1/2,-y+1/2,-z'
'-x+3/4,-y+3/4,z'
'x+3/4,y+3/4,-z'
'x+1/2,-y+3/4,-z+1/4'
'-x+1/2,y+3/4,z+1/4'
'-x+3/4,y+1/2,-z+1/4'
'x+3/4,-y+1/2,z+1/4'
loop_
_atom_site_label
_atom_site_type_symbol
_atom_site_fract_x
_atom_site_fract_y
_atom_site_fract_z
Mg1 Mg 0.125 0.292 0.125
Mn1 Mn 0.125 0.125 0.547

---

Number 7 is which compound? MgMn